Entry from Alexandria via LeMat-Bulk: a PBEsol-optimized structure of VBiO4 (SCAN).

Computed properties:
The calculation puts the formation energy (no corrections) at -2.054 eV per atom. The crystal system is orthorhombic. The space-group type is Pbcn, No. 60. Its energy is -533.28 eV for the cell shown.

abc: 5.028 11.824 5.260
angles: 90.00 90.00 90.00
Sites, in units of the cell vectors:
V1 0.000 0.105 0.250
V2 0.000 0.895 0.750
V3 0.500 0.395 0.750
V4 0.500 0.605 0.250
Bi1 0.000 0.381 0.250
Bi2 0.000 0.619 0.750
Bi3 0.500 0.119 0.750
Bi4 0.500 0.881 0.250
O1 0.150 0.194 0.045
O2 0.150 0.806 0.545
O3 0.246 0.467 0.921
O4 0.246 0.533 0.421
O5 0.254 0.033 0.421
O6 0.254 0.967 0.921
O7 0.350 0.306 0.545
O8 0.350 0.694 0.045
O9 0.650 0.306 0.955
O10 0.650 0.694 0.455
O11 0.746 0.033 0.079
O12 0.746 0.967 0.579
O13 0.754 0.467 0.579
O14 0.754 0.533 0.079
O15 0.850 0.194 0.455
O16 0.850 0.806 0.955

=====

Entry from Alexandria via LeMat-Bulk: a PBEsol-optimized structure of AlCdOs2 (SCAN).

Computed properties:
The calculation puts the polymorph energy (0 for the lowest one) at 0 meV/atom. The crystal system is orthorhombic. Its calculated formation energy is 0.217 eV per atom. The space-group type is Cmmm, No. 65. Its energy is -181.06 eV for the cell shown.

abc: 2.749 2.749 8.912
angles: 90.00 90.00 115.81
Sites, in units of the cell vectors:
Al1 0.000 0.000 0.000
Cd1 0.000 0.000 0.500
Os1 0.500 0.500 0.226
Os2 0.500 0.500 0.774

=====

Entry from Alexandria via LeMat-Bulk: a PBEsol-optimized structure of Ca2AsPb (SCAN).

Computed properties:
The calculation puts the polymorph energy (0 for the lowest one) at 218 meV/atom. The crystal system is tetragonal. Its calculated formation energy is -0.533 eV per atom. The space-group type is P4mm, No. 99. Its energy is -117.43 eV for the cell shown.

abc: 4.234 4.234 6.301
angles: 90.00 90.00 90.00
Sites, in units of the cell vectors:
Ca1 0.000 0.000 0.000
Ca2 0.500 0.500 0.363
As1 0.500 0.500 0.879
Pb1 0.000 0.000 0.530

=====

Entry from Alexandria via LeMat-Bulk: a PBEsol-optimized structure of AsSe2I (SCAN).

Computed properties:
The calculation puts the formation energy (no corrections) at 0.755 eV per atom. The crystal system is cubic. The space-group type is Fm-3m, No. 225. Its energy is -94.07 eV for the cell shown.

abc: 4.973 4.973 4.973
angles: 60.00 60.00 60.00
Sites, in units of the cell vectors:
As1 0.000 0.000 0.000
Se1 0.250 0.250 0.250
Se2 0.750 0.750 0.750
I1 0.500 0.500 0.500

=====

Entry from Alexandria via LeMat-Bulk: a PBEsol-optimized structure of TcAsCSe2 (SCAN).

Computed properties:
The calculation puts the formation energy (no corrections) at 1.379 eV per atom. The crystal system is tetragonal. The space-group type is P4/mmm, No. 123. Its energy is -98.61 eV for the cell shown.

abc: 4.233 4.233 4.120
angles: 90.00 90.00 90.00
Sites, in units of the cell vectors:
Tc1 0.000 0.000 0.000
As1 0.500 0.500 0.000
C1 0.500 0.500 0.500
Se1 0.000 0.500 0.500
Se2 0.500 0.000 0.500

=====

Entry from Alexandria via LeMat-Bulk: a PBEsol-optimized structure of Ba3GaN3 (SCAN).

Computed properties:
The calculation puts the formation energy (no corrections) at -0.666 eV per atom. The crystal system is hexagonal. The space-group type is P6_3/m, No. 176. Its energy is -335.07 eV for the cell shown.

abc: 7.980 7.980 5.723
angles: 90.00 90.00 120.00
Sites, in units of the cell vectors:
Ba1 0.070 0.361 0.250
Ba2 0.291 0.930 0.250
Ba3 0.361 0.291 0.750
Ba4 0.639 0.709 0.250
Ba5 0.709 0.070 0.750
Ba6 0.930 0.639 0.750
Ga1 0.333 0.667 0.750
Ga2 0.667 0.333 0.250
N1 0.107 0.416 0.750
N2 0.310 0.893 0.750
N3 0.416 0.310 0.250
N4 0.584 0.690 0.750
N5 0.690 0.107 0.250
N6 0.893 0.584 0.250

=====

Entry from Alexandria via LeMat-Bulk: a PBEsol-optimized structure of Ba2PrIrO6 (SCAN).

Computed properties:
The calculation puts the formation energy (no corrections) at -2.511 eV per atom. The crystal system is cubic. The space-group type is Fm-3m, No. 225. Its energy is -256.02 eV for the cell shown.

abc: 6.024 6.024 6.024
angles: 60.00 60.00 60.00
Sites, in units of the cell vectors:
Ba1 0.250 0.250 0.250
Ba2 0.750 0.750 0.750
Pr1 0.000 0.000 0.000
Ir1 0.500 0.500 0.500
O1 0.270 0.270 0.730
O2 0.270 0.730 0.270
O3 0.270 0.730 0.730
O4 0.730 0.270 0.270
O5 0.730 0.270 0.730
O6 0.730 0.730 0.270

=====

Entry from Alexandria via LeMat-Bulk: a PBEsol-optimized structure of Tl2Se (SCAN).

Computed properties:
The calculation puts the formation energy (no corrections) at -0.289 eV per atom. The calculation puts the polymorph energy (0 for the lowest one) at 103 meV/atom. The crystal system is hexagonal. The space-group type is P6_3/mmc, No. 194. Its energy is -331.32 eV for the cell shown.

abc: 5.346 5.346 6.666
angles: 90.00 90.00 120.00
Sites, in units of the cell vectors:
Tl1 0.000 0.000 0.000
Tl2 0.000 0.000 0.500
Tl3 0.333 0.667 0.250
Tl4 0.667 0.333 0.750
Se1 0.333 0.667 0.750
Se2 0.667 0.333 0.250

=====

Entry from Alexandria via LeMat-Bulk: a PBEsol-optimized structure of Zr2Zn (SCAN).

Computed properties:
The crystal system is hexagonal. Its calculated formation energy is -0.173 eV per atom. The space-group type is P-62m, No. 189. Its energy is -226.29 eV for the cell shown.

abc: 7.332 7.332 3.775
angles: 90.00 90.00 120.00
Sites, in units of the cell vectors:
Zr1 0.000 0.402 0.000
Zr2 0.000 0.734 0.500
Zr3 0.266 0.266 0.500
Zr4 0.402 0.000 0.000
Zr5 0.598 0.598 0.000
Zr6 0.734 0.000 0.500
Zn1 0.000 0.000 0.000
Zn2 0.333 0.667 0.500
Zn3 0.667 0.333 0.500

=====

Entry from Alexandria via LeMat-Bulk: a PBEsol-optimized structure of Ag2AsPt (SCAN).

Computed properties:
The crystal system is orthorhombic. Its calculated formation energy is -0.012 eV per atom. The space-group type is Imm2, No. 44. Its energy is -153.17 eV for the cell shown.

abc: 5.141 5.141 5.141
angles: 139.54 129.61 66.52
Sites, in units of the cell vectors:
Ag1 0.000 0.000 0.000
Ag2 0.723 0.223 0.500
As1 0.265 0.765 0.500
Pt1 0.462 0.462 0.000

=====

Entry from Alexandria via LeMat-Bulk: a PBEsol-optimized structure of FeTcAs2 (SCAN).

Computed properties:
The calculation puts the polymorph energy (0 for the lowest one) at 0 meV/atom. The crystal system is tetragonal. Its calculated formation energy is 0.015 eV per atom. The space-group type is P4mm, No. 99. Its energy is -93.51 eV for the cell shown.

abc: 2.851 2.851 7.466
angles: 90.00 90.00 90.00
Sites, in units of the cell vectors:
Fe1 0.000 0.000 0.000
Tc1 0.500 0.500 0.213
As1 0.000 0.000 0.433
As2 0.500 0.500 0.813

=====

Entry from Alexandria via LeMat-Bulk: a PBEsol-optimized structure of BaMn2 (SCAN).

Computed properties:
The crystal system is tetragonal. Its calculated formation energy is 0.434 eV per atom. The space-group type is I4/mcm, No. 140. Its energy is -149.51 eV for the cell shown.

abc: 6.525 6.525 6.525
angles: 135.32 135.32 65.03
Sites, in units of the cell vectors:
Ba1 0.250 0.250 0.000
Ba2 0.750 0.750 0.000
Mn1 0.175 0.675 0.850
Mn2 0.325 0.175 0.500
Mn3 0.675 0.825 0.500
Mn4 0.825 0.325 0.150

=====

Entry from Alexandria via LeMat-Bulk: a PBEsol-optimized structure of NaYSi2O6 (SCAN).

Computed properties:
The calculation puts the formation energy (no corrections) at -3.192 eV per atom. The crystal system is monoclinic. The space-group type is P2_1/c, No. 14. Its energy is -485.59 eV for the cell shown.

abc: 5.421 13.718 7.591
angles: 90.00 109.64 90.00
Sites, in units of the cell vectors:
Na1 0.134 0.229 0.052
Na2 0.134 0.271 0.552
Na3 0.866 0.729 0.448
Na4 0.866 0.771 0.948
Y1 0.019 0.507 0.752
Y2 0.019 0.993 0.252
Y3 0.981 0.007 0.748
Y4 0.981 0.493 0.248
Si1 0.419 0.636 0.068
Si2 0.419 0.864 0.568
Si3 0.431 0.639 0.642
Si4 0.431 0.861 0.142
Si5 0.569 0.139 0.858
Si6 0.569 0.361 0.358
Si7 0.581 0.136 0.432
Si8 0.581 0.364 0.932
O1 0.197 0.561 0.081
O2 0.197 0.939 0.581
O3 0.211 0.565 0.514
O4 0.211 0.935 0.014
O5 0.263 0.135 0.831
O6 0.263 0.365 0.331
O7 0.284 0.122 0.301
O8 0.284 0.378 0.801
O9 0.316 0.749 0.080
O10 0.316 0.751 0.580
O11 0.384 0.620 0.844
O12 0.384 0.880 0.344
O13 0.616 0.120 0.656
O14 0.616 0.380 0.156
O15 0.684 0.249 0.420
O16 0.684 0.251 0.920
O17 0.716 0.622 0.199
O18 0.716 0.878 0.699
O19 0.737 0.635 0.669
O20 0.737 0.865 0.169
O21 0.789 0.065 0.986
O22 0.789 0.435 0.486
O23 0.803 0.061 0.419
O24 0.803 0.439 0.919

=====

Entry from Alexandria via LeMat-Bulk: a PBEsol-optimized structure of WBr2 (SCAN).

Computed properties:
The calculation puts the formation energy (no corrections) at -0.485 eV per atom. The crystal system is orthorhombic. The space-group type is Cmce, No. 64. Its energy is -1320.74 eV for the cell shown.

abc: 9.604 9.604 11.779
angles: 90.00 90.00 75.71
Sites, in units of the cell vectors:
W1 0.068 0.932 0.858
W2 0.123 0.123 0.000
W3 0.142 0.858 0.068
W4 0.358 0.642 0.568
W5 0.377 0.377 0.500
W6 0.432 0.568 0.358
W7 0.568 0.432 0.642
W8 0.623 0.623 0.500
W9 0.642 0.358 0.432
W10 0.858 0.142 0.932
W11 0.877 0.877 0.000
W12 0.932 0.068 0.142
Br1 0.048 0.195 0.790
Br2 0.088 0.669 0.926
Br3 0.148 0.852 0.648
Br4 0.169 0.588 0.426
Br5 0.195 0.048 0.210
Br6 0.209 0.209 0.500
Br7 0.291 0.291 0.000
Br8 0.305 0.452 0.710
Br9 0.331 0.912 0.926
Br10 0.352 0.648 0.148
Br11 0.412 0.831 0.426
Br12 0.452 0.305 0.290
Br13 0.548 0.695 0.710
Br14 0.588 0.169 0.574
Br15 0.648 0.352 0.852
Br16 0.669 0.088 0.074
Br17 0.695 0.548 0.290
Br18 0.709 0.709 0.000
Br19 0.791 0.791 0.500
Br20 0.805 0.952 0.790
Br21 0.831 0.412 0.574
Br22 0.852 0.148 0.352
Br23 0.912 0.331 0.074
Br24 0.952 0.805 0.210

=====

Entry from Alexandria via LeMat-Bulk: a PBEsol-optimized structure of Ti3NiW (SCAN).

Computed properties:
The crystal system is cubic. Its calculated formation energy is 1.205 eV per atom. The space-group type is Pm-3m, No. 221. Its energy is -127.93 eV for the cell shown.

abc: 4.669 4.669 4.669
angles: 90.00 90.00 90.00
Sites, in units of the cell vectors:
Ti1 0.000 0.000 0.500
Ti2 0.000 0.500 0.000
Ti3 0.500 0.000 0.000
Ni1 0.500 0.500 0.500
W1 0.000 0.000 0.000

=====

Entry from Alexandria via LeMat-Bulk: a PBEsol-optimized structure of TeRu2 (SCAN).

Computed properties:
The calculation puts the formation energy (no corrections) at 0.558 eV per atom. The calculation puts the polymorph energy (0 for the lowest one) at 247 meV/atom. The crystal system is tetragonal. The space-group type is I4/mmm, No. 139. Its energy is -105.23 eV for the cell shown.

abc: 4.604 4.604 4.604
angles: 134.33 134.33 66.58
Sites, in units of the cell vectors:
Te1 0.000 0.000 0.000
Ru1 0.332 0.332 0.000
Ru2 0.668 0.668 0.000

=====

Entry from Alexandria via LeMat-Bulk: a PBEsol-optimized structure of La3MnRh (SCAN).

Computed properties:
The crystal system is cubic. Its calculated formation energy is 0.174 eV per atom. The space-group type is Pm-3m, No. 221. Its energy is -180.47 eV for the cell shown.

abc: 5.009 5.009 5.009
angles: 90.00 90.00 90.00
Sites, in units of the cell vectors:
La1 0.000 0.000 0.500
La2 0.000 0.500 0.000
La3 0.500 0.000 0.000
Mn1 0.000 0.000 0.000
Rh1 0.500 0.500 0.500

=====

Entry from Alexandria via LeMat-Bulk: a PBEsol-optimized structure of Ru (SCAN).

Computed properties:
The calculation puts the polymorph energy (0 for the lowest one) at 1135 meV/atom. The crystal system is cubic. Its calculated formation energy is 1.135 eV per atom. The space-group type is Fd-3m, No. 227. Its energy is -67.38 eV for the cell shown.

abc: 3.811 3.811 3.811
angles: 60.00 60.00 60.00
Sites, in units of the cell vectors:
Ru1 0.125 0.125 0.125
Ru2 0.875 0.875 0.875

=====

Entry from Alexandria via LeMat-Bulk: a PBEsol-optimized structure of LiNbF6 (SCAN).

Computed properties:
The calculation puts the formation energy (no corrections) at -3.202 eV per atom. The crystal system is trigonal. The space-group type is R-3, No. 148. Its energy is -82.38 eV for the cell shown.

abc: 5.525 5.525 5.525
angles: 59.23 59.23 59.23
Sites, in units of the cell vectors:
Li1 0.000 0.000 0.000
Nb1 0.500 0.500 0.500
F1 0.199 0.312 0.744
F2 0.256 0.801 0.688
F3 0.312 0.744 0.199
F4 0.688 0.256 0.801
F5 0.744 0.199 0.312
F6 0.801 0.688 0.256

=====

Entry from Alexandria via LeMat-Bulk: a PBEsol-optimized structure of TaAlPdPt2 (SCAN).

Computed properties:
The crystal system is tetragonal. Its calculated formation energy is 1.019 eV per atom. The space-group type is P4/mmm, No. 123. Its energy is -242.40 eV for the cell shown.

abc: 4.804 4.804 4.198
angles: 90.00 90.00 90.00
Sites, in units of the cell vectors:
Ta1 0.000 0.000 0.000
Al1 0.500 0.500 0.000
Pd1 0.500 0.500 0.500
Pt1 0.000 0.500 0.500
Pt2 0.500 0.000 0.500

=====

Entry from Alexandria via LeMat-Bulk: a PBEsol-optimized structure of YCu2 (SCAN).

Computed properties:
The crystal system is tetragonal. Its calculated formation energy is -0.277 eV per atom. The space-group type is I4_1/amd, No. 141. Its energy is -118.15 eV for the cell shown.

abc: 7.931 7.931 7.931
angles: 152.26 152.26 39.63
Sites, in units of the cell vectors:
Y1 0.375 0.625 0.750
Y2 0.625 0.375 0.250
Cu1 0.045 0.795 0.250
Cu2 0.205 0.955 0.250
Cu3 0.795 0.045 0.750
Cu4 0.955 0.205 0.750

=====

Entry from Alexandria via LeMat-Bulk: a PBEsol-optimized structure of AlW2Au (SCAN).

Computed properties:
The crystal system is monoclinic. Its calculated formation energy is 0.017 eV per atom. The space-group type is Pm, No. 6. Its energy is -216.22 eV for the cell shown.

abc: 2.786 4.317 5.292
angles: 90.00 98.71 90.00
Sites, in units of the cell vectors:
Al1 0.000 0.000 0.000
W1 0.393 0.500 0.759
W2 0.612 0.000 0.513
Au1 0.038 0.500 0.245

=====

Entry from Alexandria via LeMat-Bulk: a PBEsol-optimized structure of SrTc2Os (SCAN).

Computed properties:
The calculation puts the polymorph energy (0 for the lowest one) at 296 meV/atom. The crystal system is tetragonal. Its calculated formation energy is 1.164 eV per atom. The space-group type is P4/mmm, No. 123. Its energy is -159.62 eV for the cell shown.

abc: 4.737 4.737 2.944
angles: 90.00 90.00 90.00
Sites, in units of the cell vectors:
Sr1 0.000 0.000 0.000
Tc1 0.000 0.500 0.500
Tc2 0.500 0.000 0.500
Os1 0.500 0.500 0.000